Entry from Alexandria: a geometry-optimized PaH2Cl2 structure (PBE-GGA).

final energy = -0.1872 Ha/atom

The structure in CIF format:
```
data_PaH2Cl2
_symmetry_space_group_name_H-M 'R -3 m'
_symmetry_Int_Tables_number 166
_symmetry_space_group_name_Hall '-R 3 2"'
_cell_length_a 3.7028
_cell_length_b 3.7028
_cell_length_c 22.4155
_cell_angle_alpha 90.00
_cell_angle_beta 90.00
_cell_angle_gamma 120.00
loop_
_atom_site_label
_atom_site_fract_x
_atom_site_fract_y
_atom_site_fract_z
Pa1 0.0000 0.0000 0.0000
H1 0.0000 0.0000 0.3535
Cl1 0.0000 0.0000 0.2437
```

Entry from Alexandria: a geometry-optimized PaHCl structure (PBE-GGA).

final energy = -0.2134 Ha/atom

The structure in CIF format:
```
data_PaHCl
_symmetry_space_group_name_H-M 'R -3 m'
_symmetry_Int_Tables_number 166
_symmetry_space_group_name_Hall '-R 3 2"'
_cell_length_a 3.3899
_cell_length_b 3.3899
_cell_length_c 33.2984
_cell_angle_alpha 90.00
_cell_angle_beta 90.00
_cell_angle_gamma 120.00
loop_
_atom_site_label
_atom_site_fract_x
_atom_site_fract_y
_atom_site_fract_z
Pa1 0.0000 0.0000 0.2186
H1 0.0000 0.0000 0.1499
Cl1 0.0000 0.0000 0.3870
```

Entry from Alexandria: a geometry-optimized PaHCl5 structure (PBE-GGA).

final energy = -0.1662 Ha/atom

The structure in CIF format:
```
data_PaHCl5
_symmetry_space_group_name_H-M 'I m m m'
_symmetry_Int_Tables_number 71
_symmetry_space_group_name_Hall '-I 2 2'
_cell_length_a 5.483
_cell_length_b 8.503
_cell_length_c 10.340
_cell_angle_alpha 90.00
_cell_angle_beta 90.00
_cell_angle_gamma 90.00
loop_
_atom_site_label
_atom_site_fract_x
_atom_site_fract_y
_atom_site_fract_z
Pa1 0.000 0.000 0.000
H1 0.000 0.500 0.000
Cl1 0.000 0.000 0.245
Cl2 0.000 0.318 0.000
Cl3 0.000 0.500 0.500
```

Entry from Alexandria: a geometry-optimized PaHCl structure (PBE-GGA).

final energy = -0.1930 Ha/atom

The structure in CIF format:
```
data_PaHCl
_symmetry_space_group_name_H-M 'I 4 m m'
_symmetry_Int_Tables_number 107
_symmetry_space_group_name_Hall 'I 4 -2'
_cell_length_a 3.679
_cell_length_b 3.679
_cell_length_c 7.421
_cell_angle_alpha 90.00
_cell_angle_beta 90.00
_cell_angle_gamma 90.00
loop_
_atom_site_label
_atom_site_fract_x
_atom_site_fract_y
_atom_site_fract_z
Pa1 0.000 0.000 0.000
H1 0.000 0.000 0.307
Cl1 0.000 0.000 0.632
```

Entry from Alexandria: a geometry-optimized PaHCl structure (PBE-GGA).

final energy = -0.2134 Ha/atom

The structure in CIF format:
```
data_PaHCl
_symmetry_space_group_name_H-M 'C 1 2/m 1'
_symmetry_Int_Tables_number 12
_cell_length_a 5.869
_cell_length_b 3.389
_cell_length_c 11.343
_cell_angle_alpha 90.00
_cell_angle_beta 92.97
_cell_angle_gamma 90.00
loop_
_symmetry_equiv_pos_as_xyz
'x,y,z'
'-x,-y,-z'
'-x,y,-z'
'x,-y,z'
'x+1/2,y+1/2,z'
'-x+1/2,-y+1/2,-z'
'-x+1/2,y+1/2,-z'
'x+1/2,-y+1/2,z'
loop_
_atom_site_label
_atom_site_fract_x
_atom_site_fract_y
_atom_site_fract_z
Pa1 0.151 0.000 0.347
H1 0.171 0.000 0.549
Cl1 0.033 0.500 0.832
```

Entry from Alexandria: a geometry-optimized PaH2Cl6 structure (PBE-GGA).

final energy = -0.1489 Ha/atom

The structure in CIF format:
```
data_PaH2Cl6
_symmetry_space_group_name_H-M 'R 3'
_symmetry_Int_Tables_number 146
_symmetry_space_group_name_Hall 'R 3'
_cell_length_a 6.1898
_cell_length_b 6.1898
_cell_length_c 20.9430
_cell_angle_alpha 90.00
_cell_angle_beta 90.00
_cell_angle_gamma 120.00
loop_
_atom_site_label
_atom_site_fract_x
_atom_site_fract_y
_atom_site_fract_z
Pa1 0.0000 0.0000 0.0000
H1 0.0000 0.0000 0.5927
H2 0.0000 0.0000 0.7405
Cl1 0.0153 0.3019 0.5895
Cl2 0.0152 0.7134 0.7438
```

Entry from Alexandria: a geometry-optimized Pa2HCl6 structure (PBE-GGA).

final energy = -0.1703 Ha/atom

The structure in CIF format:
```
data_Pa2HCl6
_symmetry_space_group_name_H-M 'R 3'
_symmetry_Int_Tables_number 146
_symmetry_space_group_name_Hall 'R 3'
_cell_length_a 6.1274
_cell_length_b 6.1274
_cell_length_c 28.4561
_cell_angle_alpha 90.00
_cell_angle_beta 90.00
_cell_angle_gamma 120.00
loop_
_atom_site_label
_atom_site_fract_x
_atom_site_fract_y
_atom_site_fract_z
Pa1 0.0000 0.0000 0.0000
Pa2 0.0000 0.0000 0.1016
H1 0.0000 0.0000 0.3841
Cl1 0.0033 0.3274 0.6176
Cl2 0.0033 0.6758 0.8173
```

Entry from Alexandria: a geometry-optimized PaHCl4 structure (PBE-GGA).

final energy = -0.1713 Ha/atom

The structure in CIF format:
```
data_PaHCl4
_symmetry_space_group_name_H-M 'C 1 2/c 1'
_symmetry_Int_Tables_number 15
_cell_length_a 10.396
_cell_length_b 9.525
_cell_length_c 6.618
_cell_angle_alpha 90.00
_cell_angle_beta 90.71
_cell_angle_gamma 90.00
loop_
_symmetry_equiv_pos_as_xyz
'x,y,z'
'-x,-y,-z'
'-x,y,-z+1/2'
'x,-y,z+1/2'
'x+1/2,y+1/2,z'
'-x+1/2,-y+1/2,-z'
'-x+1/2,y+1/2,-z+1/2'
'x+1/2,-y+1/2,z+1/2'
loop_
_atom_site_label
_atom_site_fract_x
_atom_site_fract_y
_atom_site_fract_z
Pa1 0.000 0.000 0.250
H1 0.250 0.250 0.000
Cl1 0.079 0.215 0.502
Cl2 0.225 0.088 0.004
```

Entry from Alexandria: a geometry-optimized PaH2Cl8 structure (PBE-GGA).

final energy = -0.1440 Ha/atom

The structure in CIF format:
```
data_PaH2Cl8
_symmetry_space_group_name_H-M 'C 1 2/m 1'
_symmetry_Int_Tables_number 12
_cell_length_a 13.129
_cell_length_b 7.234
_cell_length_c 7.617
_cell_angle_alpha 90.00
_cell_angle_beta 95.53
_cell_angle_gamma 90.00
loop_
_symmetry_equiv_pos_as_xyz
'x,y,z'
'-x,-y,-z'
'-x,y,-z'
'x,-y,z'
'x+1/2,y+1/2,z'
'-x+1/2,-y+1/2,-z'
'-x+1/2,y+1/2,-z'
'x+1/2,-y+1/2,z'
loop_
_atom_site_label
_atom_site_fract_x
_atom_site_fract_y
_atom_site_fract_z
Pa1 0.000 0.000 0.000
H1 0.227 0.500 0.708
Cl1 0.088 0.000 0.714
Cl2 0.126 0.246 0.128
Cl3 0.144 0.500 0.602
```

Entry from Alexandria: a geometry-optimized RbPaH2Cl8 structure (PBE-GGA).

final energy = -0.1519 Ha/atom

The structure in CIF format:
```
data_RbPaH2Cl8
_symmetry_space_group_name_H-M 'P -1'
_symmetry_Int_Tables_number 2
_cell_length_a 7.173
_cell_length_b 7.459
_cell_length_c 7.780
_cell_angle_alpha 89.82
_cell_angle_beta 80.57
_cell_angle_gamma 83.78
loop_
_symmetry_equiv_pos_as_xyz
'x,y,z'
'-x,-y,-z'
loop_
_atom_site_label
_atom_site_fract_x
_atom_site_fract_y
_atom_site_fract_z
Rb1 0.000 0.000 0.000
Pa1 0.500 0.000 0.500
H1 0.346 0.340 0.162
Cl1 0.193 0.391 0.097
Cl2 0.196 0.204 0.611
Cl3 0.335 0.863 0.273
Cl4 0.388 0.760 0.724
```

Entry from Alexandria: a geometry-optimized PaTeHCl structure (PBE-GGA).

final energy = -0.2025 Ha/atom

The structure in CIF format:
```
data_PaTeHCl
_symmetry_space_group_name_H-M 'R 3 m'
_symmetry_Int_Tables_number 160
_symmetry_space_group_name_Hall 'R 3 -2"'
_cell_length_a 3.9709
_cell_length_b 3.9709
_cell_length_c 22.3281
_cell_angle_alpha 90.00
_cell_angle_beta 90.00
_cell_angle_gamma 120.00
loop_
_atom_site_label
_atom_site_fract_x
_atom_site_fract_y
_atom_site_fract_z
Pa1 0.0000 0.0000 0.0000
Te1 0.0000 0.0000 0.7578
H1 0.0000 0.0000 0.3327
Cl1 0.0000 0.0000 0.5878
```

Entry from Alexandria: a geometry-optimized HPbCl2 structure (PBE-GGA).

final energy = -0.1090 Ha/atom

The structure in CIF format:
```
data_HPbCl2
_symmetry_space_group_name_H-M 'C m c m'
_symmetry_Int_Tables_number 63
_symmetry_space_group_name_Hall '-C 2c 2'
_cell_length_a 4.325
_cell_length_b 19.540
_cell_length_c 5.685
_cell_angle_alpha 90.00
_cell_angle_beta 90.00
_cell_angle_gamma 90.00
loop_
_atom_site_label
_atom_site_fract_x
_atom_site_fract_y
_atom_site_fract_z
H1 0.000 0.049 0.250
Pb1 0.000 0.170 0.750
Cl1 0.000 0.213 0.250
Cl2 0.000 0.419 0.250
```